1.
A relaxed Cs2AlIrI6 crystal, computed with PBE.

Lattice parameters (Å, degrees): 8.2188 8.2188 8.2076 59.95 59.95 90.00
Closest atoms and distances in Å follow each position.
Fractional coordinates of all 10 atoms:
Cs1 0.2500 0.7500 0.5000  12 I 4.11
Cs2 0.7500 0.2500 0.5000  12 I 4.11
I1 0.7636 0.7636 0.4729  1 Ir 2.74, 1 Al 3.06
I2 0.7643 0.2357 0.0000  1 Ir 2.74
I3 0.2357 0.2357 0.0000  1 Ir 2.74
I4 0.2357 0.7643 0.0000  1 Ir 2.74
I5 0.7643 0.7643 0.0000  1 Ir 2.74
I6 0.2364 0.2364 0.5271  1 Ir 2.74, 1 Al 3.06
Al1 0.5000 0.5000 0.0000  6 I 3.06-3.07
Ir1 0.0000 0.0000 0.0000  6 I 2.74

Summary:
Calculated volume, Å³/cell: 391.49
Density, Mg/m³: 5.287
Formation energy without anion corrections, eV per atom: -0.659



2.
A relaxed Tm3AgH crystal, computed with PBE.

Lattice parameters (Å, degrees): 4.7304 4.7304 4.7304 90.00 90.00 90.00
Closest atoms and distances in Å follow each position.
Fractional coordinates of all 5 atoms:
Tm1 0.0000 0.5000 0.0000  2 H 2.37
Tm2 0.5000 0.0000 0.0000  2 H 2.37
Tm3 0.0000 0.0000 0.5000  2 H 2.37
H1 0.0000 0.0000 0.0000  6 Tm 2.37
Ag1 0.5000 0.5000 0.5000  12 Tm 3.34

Summary:
Calculated volume, Å³/cell: 105.85
Density, Mg/m³: 9.659
Calculated total energy, eV per formula unit: -20.28